1.
LaEr2Be: relaxed, PBE.

Unit cell a=3.4520 b=3.4520 c=32.4825 alpha=90.00 beta=90.00 gamma=120.00
Space group R-3m (No. 166, hexagonal axes)
Unique sites:
La 0.0000 0.0000 0.0000 [3 per cell]
Er 0.0000 0.0000 0.1072 [6 per cell]
Be 0.0000 0.0000 0.5000 [3 per cell]

Output
For the polymorph energy (0 for the lowest one), the calculation gives 0.241 eV/atom. The calculation puts the density at 7.2 g/cm³. The uncorrected energy comes out at -49.662 eV per cell. As for the formation energy: 0.306 eV/atom. The value obtained for the total magnetization is 0.0 Bohr magnetons per cell.

***

2.
Sn3BiAs4: relaxed, PBE.

Unit cell a=8.266 b=11.694 c=4.165 alpha=90.00 beta=90.00 gamma=90.00
Space group Cmmm (No. 65)
Unique sites:
Sn 0.000 0.000 0.000 [2 per cell]
Sn 0.250 0.250 0.500 [4 per cell]
Bi 0.000 0.500 0.000 [2 per cell]
As 0.000 0.246 0.000 [4 per cell]
As 0.242 0.000 0.500 [4 per cell]

Output
The calculation puts the density at 7.1 g/cm³. The uncorrected energy comes out at -69.504 eV per cell. As for the formation energy: -0.033 eV/atom. The value obtained for the total magnetization is 0.0 Bohr magnetons per cell.

***

3.
NdNiBi3: relaxed, PBE.

Unit cell a=12.898 b=6.512 c=6.368 alpha=90.00 beta=90.00 gamma=90.00
Space group Pbcm (No. 57)
Unique sites:
Nd 0.199 0.006 0.250 [4 per cell]
Ni 0.392 0.250 0.000 [4 per cell]
Bi 0.001 0.250 0.000 [4 per cell]
Bi 0.273 0.502 0.250 [4 per cell]
Bi 0.455 0.594 0.750 [4 per cell]

Output
The calculation puts the density at 10.3 g/cm³. The uncorrected energy comes out at -96.407 eV per cell. As for the formation energy: -0.382 eV/atom. The value obtained for the total magnetization is 0.0 Bohr magnetons per cell.

***

Please write out number 3 again, unchanged.
NdNiBi3: relaxed, PBE.

Unit cell a=12.898 b=6.512 c=6.368 alpha=90.00 beta=90.00 gamma=90.00
Space group Pbcm (No. 57)
Unique sites:
Nd 0.199 0.006 0.250 [4 per cell]
Ni 0.392 0.250 0.000 [4 per cell]
Bi 0.001 0.250 0.000 [4 per cell]
Bi 0.273 0.502 0.250 [4 per cell]
Bi 0.455 0.594 0.750 [4 per cell]

Output
The calculation puts the density at 10.3 g/cm³. The uncorrected energy comes out at -96.407 eV per cell. As for the formation energy: -0.382 eV/atom. The value obtained for the total magnetization is 0.0 Bohr magnetons per cell.

***

Question: What is the uncorrected energy in the second record?
Answer: -69.504 eV per cell

***

Question: What is the formula in the third record?
Answer: NdNiBi3

***

Question: Look up the formation energy of the first one.
Answer: 0.306 eV/atom